Entry 1:
Computed, not measured: a geometry-optimized NaSr4Sm3S8 structure at the PBE level of DFT.

a b c (Å): 8.3091 8.3091 8.3091
angles (deg): 59.66 59.66 59.66
Fractional coordinates of all 16 atoms:
Na: 0.0000 0.0000 0.0000
Sr: 0.0000 0.0000 0.5000
Sr: 0.0000 0.5000 0.0000
Sr: 0.5000 0.0000 0.0000
Sr: 0.5000 0.5000 0.5000
Sm: 0.0000 0.5000 0.5000
Sm: 0.5000 0.0000 0.5000
Sm: 0.5000 0.5000 0.0000
S: 0.2483 0.2483 0.7390
S: 0.2483 0.7390 0.2483
S: 0.2549 0.2549 0.2549
S: 0.2610 0.7517 0.7517
S: 0.7390 0.2483 0.2483
S: 0.7451 0.7451 0.7451
S: 0.7517 0.2610 0.7517
S: 0.7517 0.7517 0.2610

- Calculated volume: 403 Å³/cell
- Calculated total energy: -87.358 eV per cell
- Formation energy without anion corrections: -2.01 eV/atom

***

Entry 2:
Computed, not measured: a geometry-optimized NaSr2SmS4 structure at the PBE level of DFT.

a b c (Å): 7.1845 4.1877 7.2132
angles (deg): 90.00 108.72 90.00
Fractional coordinates of all 8 atoms:
Na: 0.0000 0.0000 0.0000
Sr: 0.5000 0.0000 0.5000
Sr: 0.5000 0.5000 0.0000
Sm: 0.0000 0.5000 0.5000
S: 0.2333 0.0000 0.7375
S: 0.2415 0.5000 0.2603
S: 0.7585 0.5000 0.7397
S: 0.7667 0.0000 0.2625

- Calculated volume: 206 Å³/cell
- Calculated total energy: -41.449 eV per cell
- Formation energy without anion corrections: -1.94 eV/atom

***

Entry 3:
Computed, not measured: a geometry-optimized NaSr3Sm2S6 structure at the PBE level of DFT.

a b c (Å): 9.2826 9.2826 8.3459
angles (deg): 102.82 102.82 25.80
Fractional coordinates of all 12 atoms:
Na: 0.0000 0.0000 0.0000
Sr: 0.0000 0.0000 0.5000
Sr: 0.3385 0.3385 0.1621
Sr: 0.6615 0.6615 0.8379
Sm: 0.3355 0.3355 0.6691
Sm: 0.6645 0.6645 0.3309
S: 0.1693 0.1693 0.0997
S: 0.1711 0.1711 0.5762
S: 0.4927 0.4927 0.7476
S: 0.5073 0.5073 0.2524
S: 0.8289 0.8289 0.4238
S: 0.8307 0.8307 0.9003

- Calculated volume: 305 Å³/cell
- Calculated total energy: -64.366 eV per cell
- Formation energy without anion corrections: -1.98 eV/atom

***

Entry 4:
Computed, not measured: a geometry-optimized NaSrSm2S4 structure at the PBE level of DFT.

a b c (Å): 8.2054 8.2054 8.2054
angles (deg): 119.99 119.92 90.07
Fractional coordinates of all 16 atoms:
Na: 0.5000 0.0000 0.0000
Na: 0.5000 0.5000 0.5000
Sr: 0.0000 0.0000 0.0000
Sr: 0.5000 0.0000 0.5000
Sm: 0.0000 0.0000 0.5000
Sm: 0.0000 0.5000 0.0000
Sm: 0.0000 0.5000 0.5000
Sm: 0.5000 0.5000 0.0000
S: 0.2339 0.7440 0.4899
S: 0.2459 0.2560 0.9899
S: 0.2461 0.2566 0.5105
S: 0.2461 0.7355 0.9895
S: 0.7539 0.2645 0.0105
S: 0.7539 0.7434 0.4895
S: 0.7541 0.7440 0.0101
S: 0.7661 0.2560 0.5101

- Calculated volume: 391 Å³/cell
- Calculated total energy: -88.891 eV per cell
- Formation energy without anion corrections: -1.94 eV/atom

***

Entry 5:
Computed, not measured: a geometry-optimized NaTb2SmS4 structure at the PBE level of DFT.

a b c (Å): 6.8904 3.9492 6.9052
angles (deg): 90.00 109.09 90.00
Fractional coordinates of all 8 atoms:
Na: 0.0000 0.0000 0.0000
Tb: 0.0000 0.5000 0.5000
Tb: 0.5000 0.0000 0.5000
Sm: 0.5000 0.5000 0.0000
S: 0.2463 0.0000 0.7441
S: 0.2540 0.5000 0.2588
S: 0.7460 0.5000 0.7412
S: 0.7537 0.0000 0.2559

- Calculated volume: 178 Å³/cell
- Calculated total energy: -47.245 eV per cell
- Formation energy without anion corrections: -1.93 eV/atom

***

Entry 6:
Computed, not measured: a geometry-optimized NaTb4SmS8 structure at the PBE level of DFT.

a b c (Å): 8.1865 8.1865 8.1865
angles (deg): 59.64 59.64 59.64
Fractional coordinates of all 14 atoms:
Na: 0.0000 0.0000 0.0000
Tb: 0.1130 0.6304 0.6304
Tb: 0.2515 0.2515 0.2515
Tb: 0.6304 0.1130 0.6304
Tb: 0.6304 0.6304 0.1130
Sm: 0.6302 0.6302 0.6302
S: 0.3816 0.3816 0.8535
S: 0.3816 0.8535 0.3816
S: 0.3841 0.3841 0.3841
S: 0.4084 0.8676 0.8676
S: 0.8535 0.3816 0.3816
S: 0.8645 0.8645 0.8645
S: 0.8676 0.4084 0.8676
S: 0.8676 0.8676 0.4084

- Calculated volume: 385 Å³/cell
- Calculated total energy: -84.879 eV per cell
- Formation energy without anion corrections: -1.95 eV/atom